LaNd2Ge4Pd4: optimized geometry, PBE.

Cell lengths 13.060, 13.060, 13.060 Å; angles 161.71, 160.55, 26.82 degrees
Atoms (fractional coordinates):
La (0.000, 0.000, 0.000)
Nd (0.353, 0.853, 0.500)
Nd (0.647, 0.147, 0.500)
Ge (0.195, 0.695, 0.500)
Ge (0.450, 0.450, 0.000)
Ge (0.550, 0.550, 0.000)
Ge (0.805, 0.305, 0.500)
Pd (0.096, 0.596, 0.500)
Pd (0.251, 0.251, 0.000)
Pd (0.749, 0.749, 0.000)
Pd (0.904, 0.404, 0.500)

* electronic total energy: -63.507 eV for the cell shown